(1)
A plane-wave DFT calculation with PBE-GGA was carried out for an optimized crystal structure of BaHSeS.

Cell lengths 12.1791, 4.2639, 4.2643 Å; angles 90.00, 110.45, 90.00 degrees
With the nearest neighbours (Å) after each atom.
Sites, in units of the cell vectors:
Ba: 0.0000 0.0000 0.0000  4 S 3.20, 1 H 3.29, 1 Se 3.55
Ba: 0.5000 0.5000 0.0000  4 S 3.20, 1 H 3.29, 1 Se 3.55
H: 0.2115 0.5000 0.7138  1 S 1.36
H: 0.7115 0.0000 0.7138  1 S 1.36
Se: 0.3111 0.0000 0.3063  4 H 3.20-3.24, 1 S 3.21, 1 Ba 3.55
Se: 0.8111 0.5000 0.3063  4 H 3.20-3.24, 1 S 3.21, 1 Ba 3.55
S: 0.0927 0.5000 0.5924  1 H 1.36
S: 0.5927 0.0000 0.5924  1 H 1.36

Spin magnetization in μB/cell: 2.0
ρ in Mg/m³: 3.99
Raw total energy in eV/atom: -4.033

***

(2)
A plane-wave DFT calculation with PBE-GGA was carried out for an optimized crystal structure of K2TaRh.

Cell lengths 2.8430, 2.8430, 11.8480 Å; angles 90.00, 90.00, 90.00 degrees
With the nearest neighbours (Å) after each atom.
Sites, in units of the cell vectors:
K: 0.0000 0.0000 0.2183  4 K 2.84
K: 0.0000 0.0000 0.7817  4 K 2.84
Ta: 0.5000 0.5000 0.5000  4 Ta 2.84
Rh: 0.5000 0.5000 0.0000  4 Rh 2.84

Spin magnetization in μB/cell: 0.5
ρ in Mg/m³: 6.28
Energy above the lowest structure with this stoichiometry in eV per atom: 0.750
Calculated formation energy in meV/atom: 1141.7

***

(3)
A plane-wave DFT calculation with PBE-GGA was carried out for an optimized crystal structure of BaAcSn2Bi.

Cell lengths 4.7120, 4.9324, 16.1861 Å; angles 90.00, 90.00, 90.00 degrees
With the nearest neighbours (Å) after each atom.
Sites, in units of the cell vectors:
Ba: 0.0000 0.0000 0.0000  6 Sn 3.70-4.11, 4 Bi 3.76
Ba: 0.5000 0.5000 0.5000  6 Sn 3.70-4.11, 4 Bi 3.76
Ac: 0.0000 0.5000 0.7473  2 Bi 3.44, 6 Sn 3.49-3.57
Ac: 0.5000 0.0000 0.2473  2 Bi 3.44, 6 Sn 3.49-3.57
Sn: 0.0000 0.0000 0.5882  2 Sn 3.00, 1 Bi 3.02
Sn: 0.0000 0.5000 0.2028  2 Sn 3.00
Sn: 0.5000 0.0000 0.7028  2 Sn 3.00
Sn: 0.5000 0.5000 0.0882  2 Sn 3.00, 1 Bi 3.02
Bi: 0.0000 0.0000 0.4019  1 Sn 3.02
Bi: 0.5000 0.5000 0.9019  1 Sn 3.02

Spin magnetization in μB/cell: 0.0
ρ in Mg/m³: 7.16
Calculated formation energy in meV/atom: -651.5

***

(4)
A plane-wave DFT calculation with PBE-GGA was carried out for an optimized crystal structure of Tb2YLu.

Cell lengths 3.5402, 3.5402, 10.0002 Å; angles 90.00, 90.00, 90.00 degrees
With the nearest neighbours (Å) after each atom.
Sites, in units of the cell vectors:
Tb: 0.0000 0.0000 0.2459  4 Lu 3.51, 4 Tb 3.54, 4 Y 3.57
Tb: 0.0000 0.0000 0.7541  4 Lu 3.51, 4 Tb 3.54, 4 Y 3.57
Y: 0.5000 0.5000 0.5000  4 Y 3.54, 8 Tb 3.57
Lu: 0.5000 0.5000 0.0000  8 Tb 3.51, 4 Lu 3.54

Spin magnetization in μB/cell: 0.0
ρ in Mg/m³: 7.71
Calculated formation energy in meV/atom: 25.0

***

> ρ of number 2 (K2TaRh)?

6.28 Mg/m³

***

> Which of these has the lowest ρ?

BaHSeS